No. 1
YPbBr2 | Alexandria via LeMat-Bulk | PBE | optimized geometry; ρ = 7.02 g cm⁻³; volume = 108 Å³/f.u.; magnetization = 0.0 μB/f.u.; raw formation energy = -0.568 eV per atom; final energy = -3.9476 eV/atom
1.0
0.000 3.777 3.777
3.777 0.000 3.777
3.777 3.777 0.000
Y Pb Br
1 1 2
Direct
0.000 0.000 0.000 Y
0.500 0.500 0.500 Pb
0.250 0.250 0.250 Br
0.750 0.750 0.750 Br

---

No. 2
Ba2ScSN | Alexandria via LeMat-Bulk | PBE | optimized geometry; ρ = 4.36 g cm⁻³; volume = 139 Å³/f.u.; magnetization = 0.0 μB/f.u.; raw formation energy = -0.893 eV per atom; final energy = -5.4186 eV/atom
1.0
5.777 0.000 0.000
0.000 5.777 0.000
0.000 0.000 4.170
Ba Sc S N
2 1 1 1
Direct
0.000 0.500 0.000 Ba
0.500 0.000 0.000 Ba
0.000 0.000 0.500 Sc
0.500 0.500 0.500 S
0.000 0.000 0.000 N